(1)
DFT (GGA-PBE) results for an optimized crystal structure of Na2CdPd.

* energy of formation from the pure elements: 1 kJ/mol of formula units

a b c (Å): 11.095 11.095 11.095
angles (deg): 158.97 158.97 29.91
Fractional positions:
1 Na 0.112 0.625 0.987
2 Na 0.375 0.362 0.487
3 Na 0.638 0.125 0.013
4 Na 0.875 0.888 0.513
5 Cd 0.250 0.750 0.500
6 Cd 0.500 0.500 0.000
7 Pd 0.000 0.000 0.000
8 Pd 0.750 0.250 0.500


(2)
DFT (GGA-PBE) results for an optimized crystal structure of Na5Cd6Pd.

* energy of formation from the pure elements: -76 kJ/mol of formula units

a b c (Å): 5.705 5.705 10.420
angles (deg): 95.18 95.18 119.35
Fractional positions:
1 Na 0.000 0.000 0.000
2 Na 0.167 0.833 0.500
3 Na 0.331 0.669 0.000
4 Na 0.669 0.331 0.000
5 Na 0.833 0.167 0.500
6 Cd 0.111 0.422 0.264
7 Cd 0.269 0.269 0.735
8 Cd 0.422 0.111 0.264
9 Cd 0.578 0.889 0.736
10 Cd 0.731 0.731 0.265
11 Cd 0.889 0.578 0.736
12 Pd 0.500 0.500 0.500


(3)
DFT (GGA-PBE) results for an optimized crystal structure of NaCd2Pd4.

* energy of formation from the pure elements: -52 kJ/mol of formula units

a b c (Å): 5.551 5.551 5.551
angles (deg): 110.84 110.84 106.77
Fractional positions:
1 Na 0.000 0.000 0.000
2 Cd 0.000 0.500 0.500
3 Cd 0.500 0.000 0.500
4 Pd 0.000 0.000 0.500
5 Pd 0.000 0.500 0.000
6 Pd 0.500 0.000 0.000
7 Pd 0.500 0.500 0.500


(4)
DFT (GGA-PBE) results for an optimized crystal structure of NaCd6Pd.

* energy of formation from the pure elements: -90 kJ/mol of formula units

a b c (Å): 4.688 6.123 6.123
angles (deg): 75.93 90.00 90.00
Fractional positions:
1 Na 0.000 0.000 0.000
2 Cd 0.000 0.061 0.499
3 Cd 0.000 0.499 0.061
4 Cd 0.500 0.206 0.206
5 Cd 0.500 0.288 0.695
6 Cd 0.500 0.695 0.288
7 Cd 0.500 0.767 0.767
8 Pd 0.000 0.574 0.574


Number 1: VASP energy -2.18 eV per atom. Number 2: VASP energy -1.51 eV per atom. Number 3: VASP energy -3.49 eV per atom. Number 4: VASP energy -1.62 eV per atom.